Record 1
First-principles (PBE) data for an optimized crystal structure of Zr2I5Cl, as listed in OQMD via LeMat-Bulk.

## Properties
crystal system = orthorhombic

Structure (POSCAR):
```
Zr2I5Cl
1.0
6.498 0.000 0.000
0.000 6.718 3.807
0.000 -6.718 3.807
Zr I Cl
2 5 1
Cartesian
1.555 0.000 0.000
4.943 0.000 0.000
0.000 -4.547 2.670
0.000 4.547 2.670
3.249 -2.023 1.323
3.249 2.023 1.323
3.249 0.000 5.230
0.000 0.000 2.036
```

Record 2
First-principles (PBE) data for an optimized crystal structure of LiPtO4, as listed in OQMD via LeMat-Bulk.

## Properties
crystal system = triclinic

Structure (POSCAR):
```
LiPtO4
1.0
5.185 0.000 0.000
-0.711 10.001 0.000
-2.148 -4.855 9.996
Li Pt O
8 8 32
Cartesian
0.000 0.000 0.000
-1.605 0.338 7.425
0.246 6.896 0.087
-0.221 8.565 2.929
0.944 5.641 3.211
2.925 1.814 0.722
2.520 3.148 3.816
3.388 0.168 3.728
-1.410 -2.583 8.197
0.151 2.087 2.796
-0.202 3.503 5.557
-0.603 4.767 8.292
1.113 0.660 5.366
0.838 1.964 8.138
2.508 8.158 0.892
2.477 -2.083 5.516
-0.005 1.998 0.061
-0.269 0.201 2.156
-0.959 -2.525 6.290
-0.157 4.717 1.243
-0.602 1.668 4.651
-0.843 2.932 7.420
-0.898 -0.886 8.760
0.989 2.412 1.019
0.844 8.890 0.056
0.675 3.803 3.745
0.793 -1.189 4.770
0.307 0.366 7.147
0.324 -3.391 8.920
0.379 5.038 6.611
-0.004 1.581 9.920
1.087 6.260 5.020
1.814 1.281 3.584
1.595 7.719 2.649
1.461 2.477 6.218
1.126 3.800 9.077
2.021 -2.104 7.426
2.926 5.480 2.407
3.544 0.066 1.584
2.551 8.139 3.664
2.899 -0.124 5.729
3.620 2.849 2.191
3.920 4.197 1.090
2.513 1.271 8.631
3.369 4.295 5.028
3.966 6.122 2.658
4.239 7.443 1.553
2.794 5.460 7.932
```

Number 1: energy -4.41 eV/atom, total moment 0.0 μB per formula unit. Number 2: energy -5.21 eV/atom, total moment 0.2 μB per formula unit.